# 1
Below is a geometry-optimized Mg2ScAl2 structure, with properties calculated at the PBE-GGA level.

```
Mg2ScAl2
1.0
4.158 0.000 0.000
0.000 4.158 0.000
2.079 2.079 6.171
Al Sc Mg
2 1 2
Direct
0.599 0.599 0.803 Al
0.401 0.401 0.197 Al
0.000 0.000 0.000 Sc
0.750 0.250 0.500 Mg
0.250 0.750 0.500 Mg
```

Values from the calculation:
DOS(E_F): 3.073 states/eV per cell
E: -3.445 eV/atom
offset from the most stable computed form: 0.0 meV/atom
energy relative to the elements: -1.021 kcal/mol of atoms
space-group type: I4/mmm (139)

---

# 2
Below is a geometry-optimized Mg2Sc2Al structure, with properties calculated at the PBE-GGA level.

```
Mg2Sc2Al
1.0
3.078 0.000 0.000
0.000 4.584 0.868
0.000 0.891 7.828
Al Mg Sc
1 2 2
Direct
0.000 0.000 0.000 Al
0.000 0.199 0.603 Mg
0.000 0.801 0.397 Mg
0.500 0.401 0.199 Sc
0.500 0.599 0.801 Sc
```

Values from the calculation:
DOS(E_F): 4.915 states/eV per cell
E: -4.033 eV/atom
offset from the most stable computed form: 0.0 meV/atom
energy relative to the elements: -2.621 kcal/mol of atoms
space-group type: Cmmm (65)

---

# 3
Below is a geometry-optimized MgSc2AlSi structure, with properties calculated at the PBE-GGA level.

```
MgSc2AlSi
1.0
5.117 0.000 0.000
0.000 4.645 0.000
0.000 0.000 5.117
Al Si Mg Sc
1 1 1 2
Direct
0.500 0.500 0.500 Al
0.000 0.500 0.000 Si
0.000 0.000 0.000 Mg
0.000 0.000 0.500 Sc
0.500 0.000 0.000 Sc
```

Values from the calculation:
DOS(E_F): 4.747 states/eV per cell
E: -3.903 eV/atom
space-group type: P4/mmm (123)
uncorrected formation energy: 0.7819 eV/atom

---

# 4
Below is a geometry-optimized ThMgScAl structure, with properties calculated at the PBE-GGA level.

```
ThMgScAl
1.0
-4.833 1.727 -0.160
-3.741 -3.007 -1.825
-3.525 -1.936 3.192
Mg Al Sc Th
1 1 1 1
Direct
0.750 0.750 0.750 Mg
0.250 0.250 0.250 Al
0.000 0.000 0.000 Sc
0.500 0.500 0.500 Th
```

Values from the calculation:
DOS(E_F): 2.488 states/eV per cell
E: -4.925 eV/atom
energy relative to the elements: -3.521 kcal/mol of atoms
space-group type: F-43m (216)

---

# 5
Below is a geometry-optimized MgScAlTl structure, with properties calculated at the PBE-GGA level.

```
MgScAlTl
1.0
-2.468 4.157 -1.148
-3.507 -0.085 -3.519
-4.786 0.473 1.250
Sc Al Mg Tl
1 1 1 1
Direct
0.000 0.000 0.000 Sc
0.250 0.250 0.250 Al
0.500 0.500 0.500 Mg
0.750 0.750 0.750 Tl
```

Values from the calculation:
DOS(E_F): 2.165 states/eV per cell
E: -3.605 eV/atom
energy relative to the elements: -2.215 kcal/mol of atoms
space-group type: F-43m (216)

---

# 6
Below is a geometry-optimized Mg2ScAlV structure, with properties calculated at the PBE-GGA level.

```
Mg2ScAlV
1.0
4.926 0.000 0.000
0.000 4.866 0.000
0.000 0.000 4.926
V Sc Mg Al
1 1 2 1
Direct
0.000 0.500 0.000 V
0.500 0.500 0.500 Sc
0.000 0.000 0.500 Mg
0.500 0.000 0.000 Mg
0.000 0.000 0.000 Al
```

Values from the calculation:
DOS(E_F): 5.137 states/eV per cell
E: -3.808 eV/atom
energy relative to the elements: 15.408 kcal/mol of atoms
space-group type: P4/mmm (123)

---

# 7
Below is a geometry-optimized MgAl2Se structure, with properties calculated at the PBE-GGA level.

```
MgAl2Se
1.0
-0.649 -3.026 -3.679
3.661 -1.027 -2.943
2.010 -4.367 0.096
Se Al Mg
1 2 1
Direct
0.750 0.750 0.750 Se
0.250 0.250 0.250 Al
0.000 0.000 0.000 Al
0.500 0.500 0.500 Mg
```

Values from the calculation:
DOS(E_F): 2.054 states/eV per cell
E: -3.053 eV/atom
offset from the most stable computed form: 284.4 meV/atom
space-group type: F-43m (216)
uncorrected formation energy: 0.0885 eV/atom

---

# 8
Below is a geometry-optimized MgAlSe2 structure, with properties calculated at the PBE-GGA level.

```
MgAlSe2
1.0
0.000 3.403 3.403
3.403 0.000 3.403
3.403 3.403 0.000
Al Se Mg
1 2 1
Direct
0.500 0.500 0.500 Al
0.750 0.750 0.750 Se
0.250 0.250 0.250 Se
0.000 0.000 0.000 Mg
```

Values from the calculation:
DOS(E_F): 2.032 states/eV per cell
E: -3.423 eV/atom
offset from the most stable computed form: 475.0 meV/atom
space-group type: Fm-3m (225)
uncorrected formation energy: -0.3467 eV/atom

---

# 9
Below is a geometry-optimized MgAlSe2 structure, with properties calculated at the PBE-GGA level.

```
MgAlSe2
1.0
5.541 0.012 -0.021
-4.392 5.076 0.032
1.895 0.927 3.594
Mg Se Al
1 2 1
Direct
0.500 0.000 0.500 Mg
0.000 0.000 0.000 Se
0.000 0.500 0.500 Se
0.500 0.500 0.000 Al
```

Values from the calculation:
DOS(E_F): 0.640 states/eV per cell
E: -3.621 eV/atom
offset from the most stable computed form: 276.9 meV/atom
space-group type: C2/m (12)
uncorrected formation energy: -0.5449 eV/atom

---

# 10
Below is a geometry-optimized Mg3AlSe4 structure, with properties calculated at the PBE-GGA level.

```
Mg3AlSe4
1.0
6.724 0.000 0.000
0.000 7.432 0.000
0.000 0.000 8.692
Se Mg Al
8 6 2
Direct
0.117 0.329 0.250 Se
0.135 0.835 0.500 Se
0.615 0.166 0.500 Se
0.635 0.165 0.000 Se
0.617 0.671 0.250 Se
0.617 0.671 0.750 Se
0.117 0.329 0.750 Se
0.115 0.834 0.000 Se
0.505 0.334 0.247 Mg
0.005 0.666 0.253 Mg
0.504 0.833 0.000 Mg
0.505 0.334 0.753 Mg
0.004 0.167 0.500 Mg
0.005 0.666 0.747 Mg
0.517 0.832 0.500 Al
0.017 0.168 0.000 Al
```

Values from the calculation:
DOS(E_F): 4.731 states/eV per cell
E: -3.779 eV/atom
space-group type: Pmn2_1 (31)
uncorrected formation energy: -0.9707 eV/atom

---

# 11
Below is a geometry-optimized MgAlSe2 structure, with properties calculated at the PBE-GGA level.

```
MgAlSe2
1.0
-1.214 -1.511 3.355
-1.160 -3.694 0.146
5.167 -3.554 2.505
Se Al Mg
2 1 1
Direct
0.502 0.502 0.493 Se
0.998 0.998 0.007 Se
0.250 0.250 0.250 Al
0.750 0.750 0.750 Mg
```

Values from the calculation:
DOS(E_F): 0.967 states/eV per cell
E: -3.859 eV/atom
offset from the most stable computed form: 39.4 meV/atom
space-group type: C2/m (12)
uncorrected formation energy: -0.7824 eV/atom

---

# 12
Below is a geometry-optimized Mg4AlSe structure, with properties calculated at the PBE-GGA level.

```
Mg4AlSe
1.0
-4.351 -1.935 -3.202
-5.404 0.612 1.831
-3.512 3.711 -2.613
Mg Al Se
4 1 1
Direct
0.876 0.375 0.375 Mg
0.375 0.375 0.876 Mg
0.375 0.876 0.375 Mg
0.375 0.375 0.375 Mg
0.000 0.000 0.000 Al
0.750 0.750 0.750 Se
```

Values from the calculation:
DOS(E_F): 3.848 states/eV per cell
E: -2.152 eV/atom
space-group type: F-43m (216)
uncorrected formation energy: 0.1155 eV/atom

---

DOS(E_F) of number 6 (Mg2ScAlV)?
5.137 states/eV per cell

---

Repeat the second record exactly.
Below is a geometry-optimized Mg2Sc2Al structure, with properties calculated at the PBE-GGA level.

```
Mg2Sc2Al
1.0
3.078 0.000 0.000
0.000 4.584 0.868
0.000 0.891 7.828
Al Mg Sc
1 2 2
Direct
0.000 0.000 0.000 Al
0.000 0.199 0.603 Mg
0.000 0.801 0.397 Mg
0.500 0.401 0.199 Sc
0.500 0.599 0.801 Sc
```

Values from the calculation:
DOS(E_F): 4.915 states/eV per cell
E: -4.033 eV/atom
offset from the most stable computed form: 0.0 meV/atom
energy relative to the elements: -2.621 kcal/mol of atoms
space-group type: Cmmm (65)